[1]
A geometry-optimized YTeBr2 structure. Source: Alexandria via LeMat-Bulk, functional PBE.

## Properties
Formation energy (no corrections), eV per atom: -0.692
ΔE to the lowest computed polymorph, meV/atom: 629
Spin magnetization, μB/atom: 0.000

Cell lengths 7.522, 7.522, 7.522 Å; angles 90.00, 90.00, 90.00 degrees
Space group Fm-3m (No. 225)
Unique sites:
1 Y 0.000 0.000 0.000
2 Te 0.000 0.000 0.500
3 Br 0.250 0.250 0.250

[2]
A geometry-optimized YTeBr2 structure. Source: Alexandria via LeMat-Bulk, functional PBE.

## Properties
Formation energy (no corrections), eV per atom: -0.512
ΔE to the lowest computed polymorph, meV/atom: 809
Spin magnetization, μB/atom: 0.000

Cell lengths 6.611, 9.452, 3.537 Å; angles 90.00, 90.00, 90.00 degrees
Space group Cmmm (No. 65)
Unique sites:
1 Y 0.000 0.000 0.000
2 Te 0.000 0.500 0.000
3 Br 0.250 0.250 0.500

[3]
A geometry-optimized ZnTe2Br structure. Source: Alexandria via LeMat-Bulk, functional PBE.

## Properties
Formation energy (no corrections), eV per atom: 0.338
ΔE to the lowest computed polymorph, meV/atom: 569
Spin magnetization, μB/atom: 0.000

Cell lengths 5.603, 5.603, 3.271 Å; angles 90.00, 90.00, 90.00 degrees
Space group P4/mmm (No. 123)
Unique sites:
1 Zn 0.000 0.000 0.000
2 Te 0.000 0.500 0.500
3 Br 0.500 0.500 0.000

[4]
A geometry-optimized ZnTe2Br structure. Source: Alexandria via LeMat-Bulk, functional PBE.

## Properties
Formation energy (no corrections), eV per atom: 0.009
ΔE to the lowest computed polymorph, meV/atom: 239
Spin magnetization, μB/atom: 0.000

Cell lengths 4.119, 7.137, 8.202 Å; angles 90.00, 90.00, 90.00 degrees
Space group Cmmm (No. 65)
Unique sites:
1 Zn 0.000 0.000 0.000
2 Te 0.000 0.500 0.200
3 Br 0.000 0.000 0.500

[5]
A geometry-optimized ZnTeBr4 structure. Source: Alexandria via LeMat-Bulk, functional PBE.

## Properties
Formation energy (no corrections), eV per atom: 0.703
Spin magnetization, μB/atom: 0.191

Cell lengths 8.970, 8.970, 8.970 Å; angles 90.00, 90.00, 90.00 degrees
Space group F-43m (No. 216)
Unique sites:
1 Zn 0.000 0.000 0.000
2 Te 0.250 0.250 0.250
3 Br 0.125 0.125 0.625

[6]
A geometry-optimized ZnTeBr structure. Source: Alexandria via LeMat-Bulk, functional PBE.

## Properties
Formation energy (no corrections), eV per atom: -0.128
Spin magnetization, μB/atom: 0.081

Cell lengths 3.425, 9.159, 8.607 Å; angles 90.00, 90.00, 90.00 degrees
Space group Imm2 (No. 44)
Unique sites:
1 Zn 0.000 0.000 0.000
2 Te 0.000 0.000 0.285
3 Br 0.000 0.000 0.739

[7]
A geometry-optimized ZnTe2Br structure. Source: Alexandria via LeMat-Bulk, functional PBE.

## Properties
Formation energy (no corrections), eV per atom: -0.096
ΔE to the lowest computed polymorph, meV/atom: 134
Spin magnetization, μB/atom: 0.000

Cell lengths 3.761, 7.668, 9.546 Å; angles 90.00, 90.00, 90.00 degrees
Space group Cmm2 (No. 35)
Unique sites:
1 Zn 0.000 0.000 0.000
2 Te 0.000 0.000 0.561
3 Te 0.000 0.500 0.787
4 Br 0.000 0.500 0.174

[8]
A geometry-optimized ZnTeBr2 structure. Source: Alexandria via LeMat-Bulk, functional PBE.

## Properties
Formation energy (no corrections), eV per atom: -0.222
Spin magnetization, μB/atom: 0.118

Cell lengths 3.507, 6.423, 12.405 Å; angles 90.00, 90.00, 90.00 degrees
Space group Cmmm (No. 65)
Unique sites:
1 Zn 0.000 0.000 0.000
2 Te 0.000 0.000 0.500
3 Br 0.000 0.500 0.142

[9]
A geometry-optimized Zn2TeBr8 structure. Source: Alexandria via LeMat-Bulk, functional PBE.

## Properties
Formation energy (no corrections), eV per atom: -0.574
Spin magnetization, μB/atom: 0.000

Cell lengths 15.079, 8.368, 6.599 Å; angles 90.00, 92.88, 90.00 degrees
Space group C2/m (No. 12)
Unique sites:
1 Zn 0.167 0.000 0.421
2 Te 0.000 0.000 0.000
3 Br 0.077 0.224 0.260
4 Br 0.157 0.000 0.798
5 Br 0.181 0.500 0.626

[10]
A geometry-optimized ZnTe2Br structure. Source: Alexandria via LeMat-Bulk, functional PBE.

## Properties
Formation energy (no corrections), eV per atom: 0.061
ΔE to the lowest computed polymorph, meV/atom: 292
Spin magnetization, μB/atom: 0.000

Cell lengths 4.167, 4.167, 15.620 Å; angles 90.00, 90.00, 90.00 degrees
Space group I4/mmm (No. 139)
Unique sites:
1 Zn 0.000 0.000 0.000
2 Te 0.000 0.500 0.250
3 Br 0.000 0.000 0.500

[11]
A geometry-optimized ZnTeBr structure. Source: Alexandria via LeMat-Bulk, functional PBE.

## Properties
Formation energy (no corrections), eV per atom: -0.351
Spin magnetization, μB/atom: 0.000

Cell lengths 3.6565, 3.6565, 7.5919 Å; angles 90.00, 90.00, 120.00 degrees
Space group P3m1 (No. 156)
Unique sites:
1 Zn 0.0000 0.0000 0.0000
2 Te 0.6667 0.3333 0.7496
3 Br 0.3333 0.6667 0.2053

[12]
A geometry-optimized ZnTe2Br structure. Source: Alexandria via LeMat-Bulk, functional PBE.

## Properties
Formation energy (no corrections), eV per atom: 0.081
ΔE to the lowest computed polymorph, meV/atom: 312
Spin magnetization, μB/atom: 0.000

Cell lengths 3.523, 3.523, 8.920 Å; angles 90.00, 90.00, 90.00 degrees
Space group P4mm (No. 99)
Unique sites:
1 Zn 0.000 0.000 0.000
2 Te 0.000 0.000 0.549
3 Te 0.500 0.500 0.770
4 Br 0.500 0.500 0.157